(1)
! BaTaTl2 (GGA-PBE, relaxed); values from VASP
&SYSTEM
  ibrav = 0, nat = 8, ntyp = 3
/
ATOMIC_SPECIES
Ba 137.33 Ba.upf
Ta 180.95 Ta.upf
Tl 204.38 Tl.upf
CELL_PARAMETERS angstrom
-2.883 2.883 9.224
2.883 -2.883 9.224
2.883 2.883 -9.224
ATOMIC_POSITIONS angstrom
Ba 0.000 0.000 0.000
Ba 0.000 2.883 4.612
Ta 2.883 0.000 4.612
Ta 0.000 0.000 9.224
Tl 1.441 -0.642 6.918
Tl 2.241 1.441 2.306
Tl 1.441 3.524 -2.306
Tl 0.642 1.441 11.530
! theoretical density = 7.9 g/cm³
! total moment = 0.006 μB/cell
! E = -31.2 eV/cell
! crystal system = tetragonal

(2)
! NaIn2GaFe (GGA-PBE, relaxed); values from VASP
&SYSTEM
  ibrav = 0, nat = 5, ntyp = 4
/
ATOMIC_SPECIES
Na 22.99 Na.upf
In 114.82 In.upf
Ga 69.72 Ga.upf
Fe 55.84 Fe.upf
CELL_PARAMETERS angstrom
4.985 0.000 0.000
0.000 4.985 0.000
0.000 0.000 4.673
ATOMIC_POSITIONS angstrom
Na 0.000 0.000 0.000
In 0.000 2.492 2.337
In 2.492 0.000 2.337
Ga 2.492 2.492 0.000
Fe 2.492 2.492 2.337
! theoretical density = 5.4 g/cm³
! total moment = 0.186 μB/cell
! E = -18.3 eV/cell
! crystal system = tetragonal

(3)
! BaTbRh4 (GGA-PBE, relaxed); values from VASP
&SYSTEM
  ibrav = 0, nat = 6, ntyp = 3
/
ATOMIC_SPECIES
Ba 137.33 Ba.upf
Tb 158.93 Tb.upf
Rh 102.91 Rh.upf
CELL_PARAMETERS angstrom
0.000 3.870 3.870
3.870 0.000 3.870
3.870 3.870 0.000
ATOMIC_POSITIONS angstrom
Ba 0.000 0.000 0.000
Tb 5.806 5.806 5.806
Rh 2.908 2.908 2.908
Rh 4.833 4.833 2.908
Rh 4.833 2.908 4.833
Rh 2.908 4.833 4.833
! theoretical density = 10.1 g/cm³
! total moment = 0.000 μB/cell
! E = -38.1 eV/cell
! crystal system = cubic

(4)
! MnPt2W (GGA-PBE, relaxed); values from VASP
&SYSTEM
  ibrav = 0, nat = 4, ntyp = 3
/
ATOMIC_SPECIES
Mn 54.94 Mn.upf
Pt 195.08 Pt.upf
W 183.84 W.upf
CELL_PARAMETERS angstrom
2.800 0.000 0.000
0.000 2.800 0.000
0.000 0.000 7.806
ATOMIC_POSITIONS angstrom
Mn 0.000 0.000 0.000
Pt 1.400 1.400 1.939
Pt 1.400 1.400 5.866
W 0.000 0.000 3.903
! energy above the most stable polymorph in this dataset = 0.00 eV per formula unit
! theoretical density = 17.1 g/cm³
! total moment = 4.167 μB/cell
! crystal system = tetragonal

(5)
! TaSi2 (GGA-PBE, relaxed); values from VASP
&SYSTEM
  ibrav = 0, nat = 3, ntyp = 2
/
ATOMIC_SPECIES
Ta 180.95 Ta.upf
Si 28.09 Si.upf
CELL_PARAMETERS angstrom
-1.642 1.642 4.103
1.642 -1.642 4.103
1.642 1.642 -4.103
ATOMIC_POSITIONS angstrom
Ta 0.000 0.000 0.000
Si 0.000 0.000 2.719
Si 0.000 0.000 5.487
! formation energy from raw total energies = -406 meV/atom
! theoretical density = 8.9 g/cm³
! total moment = 0.000 μB/cell
! crystal system = tetragonal

(6)
! MnAlIn2 (GGA-PBE, relaxed); values from VASP
&SYSTEM
  ibrav = 0, nat = 4, ntyp = 3
/
ATOMIC_SPECIES
Mn 54.94 Mn.upf
Al 26.98 Al.upf
In 114.82 In.upf
CELL_PARAMETERS angstrom
0.000 3.465 3.465
3.465 0.000 3.465
3.465 3.465 0.000
ATOMIC_POSITIONS angstrom
Mn 0.000 0.000 0.000
Al 5.197 5.197 5.197
In 1.732 1.732 1.732
In 3.465 3.465 3.465
! theoretical density = 6.2 g/cm³
! total moment = 3.637 μB/cell
! E = -16.8 eV/cell
! crystal system = cubic

(7)
! SrMgInPt2 (GGA-PBE, relaxed); values from VASP
&SYSTEM
  ibrav = 0, nat = 5, ntyp = 4
/
ATOMIC_SPECIES
Sr 87.62 Sr.upf
Mg 24.30 Mg.upf
In 114.82 In.upf
Pt 195.08 Pt.upf
CELL_PARAMETERS angstrom
-2.173 2.173 6.025
2.173 -2.173 6.025
2.173 2.173 -6.025
ATOMIC_POSITIONS angstrom
Sr 0.000 0.000 0.000
Mg 2.173 0.000 3.013
In 0.000 2.173 3.013
Pt 0.000 0.000 4.695
Pt 0.000 0.000 7.355
! theoretical density = 9.0 g/cm³
! total moment = 0.000 μB/cell
! E = -22.0 eV/cell
! crystal system = tetragonal

(8)
! Ho3Sc2Zn3 (GGA-PBE, relaxed); values from VASP
&SYSTEM
  ibrav = 0, nat = 8, ntyp = 3
/
ATOMIC_SPECIES
Ho 164.93 Ho.upf
Sc 44.96 Sc.upf
Zn 65.41 Zn.upf
CELL_PARAMETERS angstrom
-1.753 2.520 10.385
1.753 -2.520 10.385
1.753 2.520 -10.385
ATOMIC_POSITIONS angstrom
Ho 0.000 0.000 0.000
Ho 1.753 0.000 7.848
Ho 0.000 2.520 2.537
Sc 0.000 0.000 4.813
Sc 0.000 0.000 15.956
Zn 1.753 0.000 2.533
Zn 0.000 0.000 10.385
Zn 0.000 2.520 7.852
! theoretical density = 7.1 g/cm³
! total moment = 0.000 μB/cell
! E = -32.3 eV/cell
! crystal system = orthorhombic

(9)
! Hg12RhF7 (GGA-PBE, relaxed); values from VASP
&SYSTEM
  ibrav = 0, nat = 20, ntyp = 3
/
ATOMIC_SPECIES
Hg 200.59 Hg.upf
Rh 102.91 Rh.upf
F 19.00 F.upf
CELL_PARAMETERS angstrom
4.065 0.000 0.000
-1.324 10.755 0.000
-1.578 -0.880 10.991
ATOMIC_POSITIONS angstrom
Hg -0.960 3.411 4.674
Hg 0.153 0.829 3.863
Hg -0.868 8.749 4.540
Hg -0.212 1.137 10.054
Hg -0.114 4.513 7.399
Hg -0.923 9.086 9.455
Hg 2.086 0.789 1.535
Hg 1.277 5.362 3.592
Hg 1.375 8.738 0.937
Hg 2.031 1.126 6.451
Hg 1.011 9.046 7.128
Hg 2.124 6.464 6.317
Rh -0.662 5.378 0.000
F -0.706 7.372 0.231
F -0.658 5.130 1.995
F 0.000 2.169 7.959
F 1.370 5.378 0.000
F 1.164 7.706 3.032
F 1.821 4.745 8.995
F 1.869 2.503 10.760
! formation energy from raw total energies = -742 meV/atom
! theoretical density = 9.1 g/cm³
! total moment = 0.092 μB/cell
! crystal system = triclinic

(10)
! FePtSe2Br (GGA-PBE, relaxed); values from VASP
&SYSTEM
  ibrav = 0, nat = 5, ntyp = 4
/
ATOMIC_SPECIES
Fe 55.84 Fe.upf
Pt 195.08 Pt.upf
Se 78.96 Se.upf
Br 79.90 Br.upf
CELL_PARAMETERS angstrom
5.171 0.000 0.000
0.000 5.171 0.000
0.000 0.000 4.269
ATOMIC_POSITIONS angstrom
Fe 0.000 0.000 0.000
Pt 2.585 2.585 0.000
Se 0.000 2.585 2.134
Se 2.585 0.000 2.134
Br 0.000 0.000 2.134
! formation energy from raw total energies = 1593 meV/atom
! energy above the most stable polymorph in this dataset = 4.33 eV per formula unit
! theoretical density = 7.1 g/cm³
! total moment = 0.057 μB/cell
! crystal system = tetragonal

(11)
! ScCd3 (GGA-PBE, relaxed); values from VASP
&SYSTEM
  ibrav = 0, nat = 4, ntyp = 2
/
ATOMIC_SPECIES
Sc 44.96 Sc.upf
Cd 112.41 Cd.upf
CELL_PARAMETERS angstrom
3.249 0.000 0.000
-1.625 2.814 0.000
0.000 0.000 9.984
ATOMIC_POSITIONS angstrom
Sc 0.000 0.000 0.000
Cd 0.000 0.000 4.992
Cd 1.625 0.938 2.478
Cd 1.625 0.938 7.506
! theoretical density = 7.0 g/cm³
! total moment = 0.517 μB/cell
! E = -9.4 eV/cell
! crystal system = hexagonal

(12)
! Cs2Na2Br (GGA-PBE, relaxed); values from VASP
&SYSTEM
  ibrav = 0, nat = 10, ntyp = 3
/
ATOMIC_SPECIES
Cs 132.91 Cs.upf
Na 22.99 Na.upf
Br 79.90 Br.upf
CELL_PARAMETERS angstrom
9.158 0.000 0.000
0.000 9.158 0.000
0.000 0.000 6.620
ATOMIC_POSITIONS angstrom
Cs 1.734 2.845 0.000
Cs 2.845 7.424 0.000
Cs 6.313 1.734 0.000
Cs 7.424 6.313 0.000
Na 1.198 5.776 3.310
Na 3.381 1.198 3.310
Na 5.776 7.960 3.310
Na 7.960 3.381 3.310
Br 0.000 0.000 3.310
Br 4.579 4.579 3.310
! formation energy from raw total energies = -418 meV/atom
! energy above the most stable polymorph in this dataset = 0.38 eV per formula unit
! theoretical density = 2.3 g/cm³
! total moment = 0.000 μB/cell
! crystal system = tetragonal